Computed, not measured: a geometry-optimized CoAg2BAu structure at the GGA-PBE level of DFT.

Cell: 5.162 5.162 4.753 Å, 90.00 90.00 90.00°
Space group P4/mmm (No. 123)
Symmetry-distinct sites (fractional):
Co  0.000  0.000  0.000 (multiplicity 1)
Ag  0.000  0.500  0.500 (multiplicity 2)
B  0.500  0.500  0.000 (multiplicity 1)
Au  0.000  0.000  0.500 (multiplicity 1)

Results
Its magnetic moment is 2.158 μB per formula unit. The value obtained for the formation energy is 1.8394 eV/atom. The calculation puts the density of states at the Fermi level at 5.11 states/eV/cell.